BPdN3: relaxed, PBE.

Results
Its space group is Pm-3m. The calculation puts the total magnetization at 0.000 Bohr magnetons per cell. As for the energy relative to the elements, uncorrected: 1.582 eV/atom.

a b c (Å): 3.4077 3.4077 3.4077
angles (deg): 90.00 90.00 90.00
Element x y z (fractional)
B  0.0000  0.0000  0.0000
Pd  0.5000  0.5000  0.5000
N  0.0000  0.5000  0.0000
N  0.0000  0.0000  0.5000
N  0.5000  0.0000  0.0000

BPdN3: relaxed, PBE.

Results
Its space group is Pm-3m. The calculation puts the total magnetization at 0.000 Bohr magnetons per cell. As for the energy relative to the elements, uncorrected: 3.018 eV/atom.

a b c (Å): 3.8887 3.8887 3.8887
angles (deg): 90.00 90.00 90.00
Element x y z (fractional)
B  0.5000  0.5000  0.5000
Pd  0.0000  0.0000  0.0000
N  0.0000  0.5000  0.0000
N  0.0000  0.0000  0.5000
N  0.5000  0.0000  0.0000

BPdS2N: relaxed, PBE.

Results
Its space group is P4/mmm. The calculation puts the total magnetization at 0.006 Bohr magnetons per cell. As for the energy relative to the elements, uncorrected: 1.745 eV/atom. The value obtained for the excess energy over the best structure of this formula in the dataset is 1.3225 eV per atom.

a b c (Å): 4.9253 3.6464 4.9253
angles (deg): 90.00 90.00 90.00
Element x y z (fractional)
S  0.0000  0.0000  0.5000
S  0.5000  0.0000  0.0000
B  0.5000  0.5000  0.5000
Pd  0.0000  0.0000  0.0000
N  0.0000  0.5000  0.0000